Entry from Alexandria: crystalline CsMoF7 at its relaxed geometry (PBE with a Hubbard U).

abc: 10.884 10.884 10.884
angles: 90.00 90.00 90.00
Fractional coordinates of all 72 atoms:
Cs (0.000, 0.500, 0.000)
Cs (0.000, 0.000, 0.500)
Cs (0.500, 0.500, 0.500)
Cs (0.500, 0.000, 0.000)
Cs (0.000, 0.000, 0.000)
Cs (0.000, 0.500, 0.500)
Cs (0.500, 0.000, 0.500)
Cs (0.500, 0.500, 0.000)
Mo (0.777, 0.223, 0.723)
Mo (0.223, 0.723, 0.777)
Mo (0.723, 0.777, 0.223)
Mo (0.277, 0.277, 0.277)
Mo (0.223, 0.777, 0.277)
Mo (0.777, 0.277, 0.223)
Mo (0.277, 0.223, 0.777)
Mo (0.723, 0.723, 0.723)
F (0.884, 0.354, 0.773)
F (0.116, 0.854, 0.727)
F (0.616, 0.646, 0.273)
F (0.384, 0.146, 0.227)
F (0.773, 0.884, 0.354)
F (0.727, 0.116, 0.854)
F (0.273, 0.616, 0.646)
F (0.227, 0.384, 0.146)
F (0.354, 0.773, 0.884)
F (0.854, 0.727, 0.116)
F (0.646, 0.273, 0.616)
F (0.146, 0.227, 0.384)
F (0.116, 0.646, 0.227)
F (0.884, 0.146, 0.273)
F (0.384, 0.354, 0.727)
F (0.616, 0.854, 0.773)
F (0.227, 0.116, 0.646)
F (0.273, 0.884, 0.146)
F (0.727, 0.384, 0.354)
F (0.773, 0.616, 0.854)
F (0.646, 0.227, 0.116)
F (0.146, 0.273, 0.884)
F (0.354, 0.727, 0.384)
F (0.854, 0.773, 0.616)
F (0.928, 0.134, 0.757)
F (0.072, 0.634, 0.743)
F (0.572, 0.866, 0.257)
F (0.428, 0.366, 0.243)
F (0.757, 0.928, 0.134)
F (0.743, 0.072, 0.634)
F (0.257, 0.572, 0.866)
F (0.243, 0.428, 0.366)
F (0.134, 0.757, 0.928)
F (0.634, 0.743, 0.072)
F (0.866, 0.257, 0.572)
F (0.366, 0.243, 0.428)
F (0.072, 0.866, 0.243)
F (0.928, 0.366, 0.257)
F (0.428, 0.134, 0.743)
F (0.572, 0.634, 0.757)
F (0.243, 0.072, 0.866)
F (0.257, 0.928, 0.366)
F (0.743, 0.428, 0.134)
F (0.757, 0.572, 0.634)
F (0.866, 0.243, 0.072)
F (0.366, 0.257, 0.928)
F (0.134, 0.743, 0.428)
F (0.634, 0.757, 0.572)
F (0.675, 0.325, 0.825)
F (0.325, 0.825, 0.675)
F (0.825, 0.675, 0.325)
F (0.175, 0.175, 0.175)
F (0.325, 0.675, 0.175)
F (0.675, 0.175, 0.325)
F (0.175, 0.325, 0.675)
F (0.825, 0.825, 0.825)

## Properties
Its magnetic moment is 0.14 μB/f.u. The energy is -4.8223 eV per atom.